# ScCrHg2 | Alexandria | PBE | optimized geometry
data_ScCrHg2
_chemical_formula_sum 'Sc1 Cr1 Hg2'
_symmetry_space_group_name_H-M 'P 1'
_symmetry_Int_Tables_number 1
_symmetry_space_group_name_Hall 'P 1'
_cell_length_a 4.843
_cell_length_b 3.382
_cell_length_c 4.962
_cell_angle_alpha 90.00
_cell_angle_beta 90.00
_cell_angle_gamma 90.00
loop_
_atom_site_label
_atom_site_type_symbol
_atom_site_fract_x
_atom_site_fract_y
_atom_site_fract_z
_atom_site_occupancy
Cr1 Cr 0.500 0.625 0.830 1
Hg1 Hg 0.000 0.125 0.919 1
Hg2 Hg 0.500 0.125 0.331 1
Sc1 Sc 0.000 0.625 0.420 1
# calculated volume	81.3	Å³/f.u.
# calculated density	10.176	g/cm3
# spin magnetization	3.94	μB per cell
# distance to the lowest polymorph of the same formula	0.0883	eV/atom
# space group	Pmm2 (25)

=====

# ScCrHg2 | Alexandria | PBE | optimized geometry
data_ScCrHg2
_chemical_formula_sum 'Sc1 Cr1 Hg2'
_symmetry_space_group_name_H-M 'P 1'
_symmetry_Int_Tables_number 1
_symmetry_space_group_name_Hall 'P 1'
_cell_length_a 4.848
_cell_length_b 4.848
_cell_length_c 4.848
_cell_angle_alpha 60.00
_cell_angle_beta 60.00
_cell_angle_gamma 60.00
loop_
_atom_site_label
_atom_site_type_symbol
_atom_site_fract_x
_atom_site_fract_y
_atom_site_fract_z
_atom_site_occupancy
Cr1 Cr 0.500 0.500 0.500 1
Hg1 Hg 0.000 0.000 0.000 1
Hg2 Hg 0.250 0.250 0.250 1
Sc1 Sc 0.750 0.750 0.750 1
# calculated volume	80.6	Å³/f.u.
# calculated density	10.269	g/cm3
# spin magnetization	4.87	μB per cell
# distance to the lowest polymorph of the same formula	0.1468	eV/atom
# space group	F-43m (216)

=====

What is the formula in the second record?
ScCrHg2

=====

What did the first record say?
# ScCrHg2 | Alexandria | PBE | optimized geometry
data_ScCrHg2
_chemical_formula_sum 'Sc1 Cr1 Hg2'
_symmetry_space_group_name_H-M 'P 1'
_symmetry_Int_Tables_number 1
_symmetry_space_group_name_Hall 'P 1'
_cell_length_a 4.843
_cell_length_b 3.382
_cell_length_c 4.962
_cell_angle_alpha 90.00
_cell_angle_beta 90.00
_cell_angle_gamma 90.00
loop_
_atom_site_label
_atom_site_type_symbol
_atom_site_fract_x
_atom_site_fract_y
_atom_site_fract_z
_atom_site_occupancy
Cr1 Cr 0.500 0.625 0.830 1
Hg1 Hg 0.000 0.125 0.919 1
Hg2 Hg 0.500 0.125 0.331 1
Sc1 Sc 0.000 0.625 0.420 1
# calculated volume	81.3	Å³/f.u.
# calculated density	10.176	g/cm3
# spin magnetization	3.94	μB per cell
# distance to the lowest polymorph of the same formula	0.0883	eV/atom
# space group	Pmm2 (25)

=====

Among the records above, which one has the highest spin magnetization?
number 2